Entry from the Alexandria database: TbTiAl2 after structural relaxation (PBE-GGA).

Unit cell a=3.1415 b=3.1415 c=9.7557 alpha=80.73 beta=80.73 gamma=60.00
Last column: magnetic moment on the atom in μB.
Positions (direct):
Tb  0.5000  0.5000  0.5000  -0.02
Al  0.7416  0.7416  0.7752  0.00
Al  0.2584  0.2584  0.2248  0.00
Ti  0.0000  0.0000  0.0000  0.29

Properties
- Offset from the most stable computed form: 268 meV/atom
- Total moment: 0.4 Bohr magnetons per cell
- Density of states at the Fermi level: 3.78 states/eV per cell
- Formation energy: -0.2 eV per formula unit
- VASP energy: -20.2 eV/cell